Record 1
NaOs: relaxed, PBE-GGA.

a b c (Å): 4.876 4.876 4.876
angles (deg): 60.00 60.00 60.00
Element x y z (fractional)
Na (0.000, 0.000, 0.000)
Os (0.750, 0.750, 0.750)

ΔE to the lowest computed polymorph   2.782 eV per atom
Total magnetization   3.00 Bohr magnetons per cell
Crystal system   cubic
Space-group type   F-43m (216)
Density of states at the Fermi level   2.994 states/eV/atom



Record 2
NaOs: relaxed, PBE-GGA.

a b c (Å): 2.717 12.815 6.622
angles (deg): 90.00 90.00 90.00
Element x y z (fractional)
Na (0.250, 0.084, 0.132)
Na (0.250, 0.416, 0.132)
Na (0.250, 0.750, 0.156)
Na (0.750, 0.250, 0.844)
Na (0.750, 0.584, 0.868)
Na (0.750, 0.916, 0.868)
Os (0.250, 0.076, 0.577)
Os (0.250, 0.250, 0.439)
Os (0.250, 0.424, 0.577)
Os (0.750, 0.576, 0.423)
Os (0.750, 0.750, 0.561)
Os (0.750, 0.924, 0.423)

ΔE to the lowest computed polymorph   0.209 eV per atom
Total magnetization   0.00 Bohr magnetons per cell
Crystal system   orthorhombic
Space-group type   Pmmn (59)
Density of states at the Fermi level   0.617 states/eV/atom



Record 3
NaOs: relaxed, PBE-GGA.

a b c (Å): 4.044 4.044 4.044
angles (deg): 60.00 60.00 60.00
Element x y z (fractional)
Na (0.000, 0.000, 0.000)
Os (0.500, 0.500, 0.500)

ΔE to the lowest computed polymorph   2.269 eV per atom
Total magnetization   3.00 Bohr magnetons per cell
Crystal system   cubic
Space-group type   Fm-3m (225)
Density of states at the Fermi level   1.346 states/eV/atom



Record 4
NaOs: relaxed, PBE-GGA.

a b c (Å): 9.240 9.240 3.868
angles (deg): 90.00 90.00 90.00
Element x y z (fractional)
Na (0.000, 0.297, 0.000)
Na (0.000, 0.703, 0.000)
Na (0.219, 0.219, 0.500)
Na (0.219, 0.781, 0.500)
Na (0.297, 0.000, 0.000)
Na (0.703, 0.000, 0.000)
Na (0.781, 0.219, 0.500)
Na (0.781, 0.781, 0.500)
Os (0.136, 0.500, 0.500)
Os (0.304, 0.500, 0.000)
Os (0.500, 0.136, 0.500)
Os (0.500, 0.304, 0.000)
Os (0.500, 0.696, 0.000)
Os (0.500, 0.864, 0.500)
Os (0.696, 0.500, 0.000)
Os (0.864, 0.500, 0.500)

ΔE to the lowest computed polymorph   0.260 eV per atom
Total magnetization   0.00 Bohr magnetons per cell
Crystal system   tetragonal
Space-group type   P4/mmm (123)
Density of states at the Fermi level   0.770 states/eV/atom



Record 5
NaP2Os2: relaxed, PBE-GGA.

a b c (Å): 7.135 7.135 2.823
angles (deg): 90.00 90.00 90.00
Element x y z (fractional)
Na (0.000, 0.000, 0.000)
Na (0.500, 0.500, 0.000)
P (0.148, 0.352, 0.000)
P (0.352, 0.852, 0.000)
P (0.648, 0.148, 0.000)
P (0.852, 0.648, 0.000)
Os (0.142, 0.642, 0.500)
Os (0.358, 0.142, 0.500)
Os (0.642, 0.858, 0.500)
Os (0.858, 0.358, 0.500)

Total magnetization   0.00 Bohr magnetons per cell
Crystal system   tetragonal
E_tot   -68.059 eV for the cell shown
Space-group type   P4/mbm (127)
Density of states at the Fermi level   0.526 states/eV/atom



Record 6
Na2POs: relaxed, PBE-GGA.

a b c (Å): 8.174 8.174 8.174
angles (deg): 94.16 94.16 148.74
Element x y z (fractional)
Na (0.375, 0.114, 0.239)
Na (0.864, 0.625, 0.739)
Na (0.875, 0.136, 0.761)
Na (0.886, 0.125, 0.261)
P (0.000, 0.000, 0.000)
P (0.750, 0.250, 0.500)
Os (0.250, 0.750, 0.500)
Os (0.500, 0.500, 0.000)

Total magnetization   1.89 Bohr magnetons per cell
Crystal system   tetragonal
E_tot   -35.344 eV for the cell shown
Space-group type   I-42d (122)
Density of states at the Fermi level   0.596 states/eV/atom



Record 7
NaPOs3: relaxed, PBE-GGA.

a b c (Å): 4.466 4.466 4.466
angles (deg): 90.00 90.00 90.00
Element x y z (fractional)
Na (0.000, 0.000, 0.000)
P (0.500, 0.500, 0.500)
Os (0.000, 0.000, 0.500)
Os (0.000, 0.500, 0.000)
Os (0.500, 0.000, 0.000)

ΔE to the lowest computed polymorph   2.350 eV per atom
Total magnetization   1.79 Bohr magnetons per cell
Crystal system   cubic
Space-group type   Pm-3m (221)
Density of states at the Fermi level   1.426 states/eV/atom



Record 8
NaP3Os: relaxed, PBE-GGA.

a b c (Å): 4.692 4.692 4.692
angles (deg): 90.00 90.00 90.00
Element x y z (fractional)
Na (0.000, 0.000, 0.000)
P (0.000, 0.500, 0.500)
P (0.500, 0.000, 0.500)
P (0.500, 0.500, 0.000)
Os (0.500, 0.500, 0.500)

ΔE to the lowest computed polymorph   0.000 eV per atom
Total magnetization   0.00 Bohr magnetons per cell
Crystal system   cubic
Space-group type   Pm-3m (221)
Density of states at the Fermi level   1.235 states/eV/atom



Record 9
NaPOs3: relaxed, PBE-GGA.

a b c (Å): 4.412 4.412 4.412
angles (deg): 90.00 90.00 90.00
Element x y z (fractional)
Na (0.000, 0.000, 0.000)
P (0.500, 0.500, 0.500)
Os (0.000, 0.500, 0.500)
Os (0.500, 0.000, 0.500)
Os (0.500, 0.500, 0.000)

ΔE to the lowest computed polymorph   0.000 eV per atom
Total magnetization   1.42 Bohr magnetons per cell
Crystal system   cubic
Space-group type   Pm-3m (221)
Density of states at the Fermi level   0.771 states/eV/atom



Record 10
NaP3Os: relaxed, PBE-GGA.

a b c (Å): 4.555 4.555 4.555
angles (deg): 90.00 90.00 90.00
Element x y z (fractional)
Na (0.000, 0.000, 0.000)
P (0.000, 0.000, 0.500)
P (0.000, 0.500, 0.000)
P (0.500, 0.000, 0.000)
Os (0.500, 0.500, 0.500)

ΔE to the lowest computed polymorph   1.759 eV per atom
Total magnetization   0.00 Bohr magnetons per cell
Crystal system   cubic
Space-group type   Pm-3m (221)
Density of states at the Fermi level   0.613 states/eV/atom



Record 11
RbNaP2Os: relaxed, PBE-GGA.

a b c (Å): 5.356 5.356 4.909
angles (deg): 90.00 90.00 90.00
Element x y z (fractional)
Rb (0.000, 0.000, 0.000)
Na (0.000, 0.000, 0.500)
P (0.000, 0.500, 0.000)
P (0.500, 0.000, 0.000)
Os (0.500, 0.500, 0.500)

ΔE to the lowest computed polymorph   2.022 eV per atom
Total magnetization   3.24 Bohr magnetons per cell
Crystal system   tetragonal
Space-group type   P4/mmm (123)
Density of states at the Fermi level   1.073 states/eV/atom



Record 12
RbNaP2Os: relaxed, PBE-GGA.

a b c (Å): 4.614 4.614 6.209
angles (deg): 90.00 90.00 90.00
Element x y z (fractional)
Rb (0.000, 0.000, 0.000)
Na (0.500, 0.500, 0.000)
P (0.000, 0.500, 0.500)
P (0.500, 0.000, 0.500)
Os (0.000, 0.000, 0.500)

ΔE to the lowest computed polymorph   0.000 eV per atom
Total magnetization   0.00 Bohr magnetons per cell
Crystal system   tetragonal
Space-group type   P4/mmm (123)
Density of states at the Fermi level   0.587 states/eV/atom



Record 13
NaP2OsRh: relaxed, PBE-GGA.

a b c (Å): 5.805 5.805 5.805
angles (deg): 139.43 139.43 58.72
Element x y z (fractional)
Na (0.000, 0.000, 0.000)
P (0.369, 0.369, 0.000)
P (0.631, 0.631, 0.000)
Os (0.750, 0.250, 0.500)
Rh (0.250, 0.750, 0.500)

Total magnetization   0.00 Bohr magnetons per cell
Crystal system   tetragonal
E_tot   -33.395 eV for the cell shown
Space-group type   I-4m2 (119)
Density of states at the Fermi level   0.284 states/eV/atom



Record 14
NaPOsS2: relaxed, PBE-GGA.

a b c (Å): 4.879 4.879 4.476
angles (deg): 90.00 90.00 90.00
Element x y z (fractional)
Na (0.000, 0.000, 0.000)
P (0.500, 0.500, 0.000)
Os (0.500, 0.500, 0.500)
S (0.000, 0.500, 0.500)
S (0.500, 0.000, 0.500)

ΔE to the lowest computed polymorph   0.000 eV per atom
Total magnetization   1.19 Bohr magnetons per cell
Energy relative to the elements, uncorrected   206 meV/atom
Crystal system   tetragonal
Space-group type   P4/mmm (123)
Density of states at the Fermi level   1.044 states/eV/atom



Record 15
NaPOsS2: relaxed, PBE-GGA.

a b c (Å): 4.694 4.694 4.726
angles (deg): 90.00 90.00 90.00
Element x y z (fractional)
Na (0.000, 0.000, 0.000)
P (0.000, 0.000, 0.500)
Os (0.500, 0.500, 0.500)
S (0.000, 0.500, 0.000)
S (0.500, 0.000, 0.000)

ΔE to the lowest computed polymorph   1.808 eV per atom
Total magnetization   2.68 Bohr magnetons per cell
Energy relative to the elements, uncorrected   2014 meV/atom
Crystal system   tetragonal
Space-group type   P4/mmm (123)
Density of states at the Fermi level   1.271 states/eV/atom



Record 16
Na2SiPOs: relaxed, PBE-GGA.

a b c (Å): 5.237 5.237 4.443
angles (deg): 90.00 90.00 90.00
Element x y z (fractional)
Na (0.000, 0.500, 0.000)
Na (0.500, 0.000, 0.000)
Si (0.000, 0.000, 0.500)
P (0.000, 0.000, 0.000)
Os (0.500, 0.500, 0.500)

Total magnetization   2.88 Bohr magnetons per cell
Energy relative to the elements, uncorrected   1304 meV/atom
Crystal system   tetragonal
Space-group type   P4/mmm (123)
Density of states at the Fermi level   0.711 states/eV/atom



Record 17
NaSrPOs2: relaxed, PBE-GGA.

a b c (Å): 5.367 5.367 5.512
angles (deg): 90.00 90.00 90.00
Element x y z (fractional)
Na (0.000, 0.000, 0.000)
Sr (0.500, 0.500, 0.500)
P (0.500, 0.500, 0.000)
Os (0.000, 0.500, 0.500)
Os (0.500, 0.000, 0.500)

Total magnetization   5.68 Bohr magnetons per cell
Crystal system   tetragonal
E_tot   -17.833 eV for the cell shown
Space-group type   P4/mmm (123)
Density of states at the Fermi level   1.815 states/eV/atom



Record 18
NaTaP2Os: relaxed, PBE-GGA.

a b c (Å): 4.528 4.528 5.005
angles (deg): 90.00 90.00 90.00
Element x y z (fractional)
Na (0.000, 0.000, 0.000)
Ta (0.500, 0.500, 0.000)
P (0.000, 0.500, 0.500)
P (0.500, 0.000, 0.500)
Os (0.000, 0.000, 0.500)

Total magnetization   2.62 Bohr magnetons per cell
Crystal system   tetragonal
E_tot   -28.933 eV for the cell shown
Space-group type   P4/mmm (123)
Density of states at the Fermi level   1.774 states/eV/atom



Record 19
NaZnPOs: relaxed, PBE-GGA.

a b c (Å): 3.925 3.925 10.774
angles (deg): 90.00 90.00 90.00
Element x y z (fractional)
Na (0.250, 0.250, 0.247)
Na (0.750, 0.750, 0.753)
Zn (0.250, 0.750, 0.500)
Zn (0.750, 0.250, 0.500)
P (0.250, 0.250, 0.879)
P (0.750, 0.750, 0.121)
Os (0.250, 0.750, 0.000)
Os (0.750, 0.250, 0.000)

Total magnetization   0.00 Bohr magnetons per cell
Crystal system   tetragonal
E_tot   -39.598 eV for the cell shown
Space-group type   P4/nmm (129)
Density of states at the Fermi level   0.552 states/eV/atom



Record 20
NaPa2Os: relaxed, PBE-GGA.

a b c (Å): 10.866 10.866 10.866
angles (deg): 19.83 19.83 19.83
Element x y z (fractional)
Na (0.000, 0.000, 0.000)
Pa (0.114, 0.114, 0.114)
Pa (0.886, 0.886, 0.886)
Os (0.500, 0.500, 0.500)

Total magnetization   0.96 Bohr magnetons per cell
Crystal system   trigonal
E_tot   -30.195 eV for the cell shown
Space-group type   R-3m (166)
Density of states at the Fermi level   1.895 states/eV/atom